Record 1
# Ho2Tm6In | Alexandria | PBE | optimized geometry
data_Ho2Tm6In
_chemical_formula_sum 'Ho4 Tm12 In2'
_cell_length_a 9.677
_cell_length_b 9.677
_cell_length_c 6.033
_cell_angle_alpha 95.84
_cell_angle_beta 95.84
_cell_angle_gamma 72.07
_space_group_name_H-M_alt 'P 1'
_space_group_IT_number 1
loop_
_space_group_symop_operation_xyz
'x,y,z'
loop_
_atom_site_label
_atom_site_fract_x
_atom_site_fract_y
_atom_site_fract_z
_atom_site_occupancy
Ho1 0.067 0.287 0.070 1
Ho2 0.287 0.067 0.570 1
Ho3 0.713 0.933 0.430 1
Ho4 0.933 0.713 0.930 1
Tm1 0.083 0.810 0.479 1
Tm2 0.152 0.432 0.634 1
Tm3 0.190 0.917 0.021 1
Tm4 0.277 0.518 0.163 1
Tm5 0.432 0.152 0.134 1
Tm6 0.482 0.723 0.337 1
Tm7 0.518 0.277 0.663 1
Tm8 0.568 0.848 0.866 1
Tm9 0.723 0.482 0.837 1
Tm10 0.810 0.083 0.979 1
Tm11 0.848 0.568 0.366 1
Tm12 0.917 0.190 0.521 1
In1 0.371 0.629 0.750 1
In2 0.629 0.371 0.250 1
# **Symmetry**: No. 15
# **Excess energy over the best structure of this formula in the dataset**: 0.047 eV per atom
# **V**: 29.6 A^3/atom
# **DFT total energy**: -77.95 eV per cell
# **ΔH_f (0 K)**: -28 meV per atom



Record 2
# Nd2GeI2 | Alexandria | PBE | optimized geometry
data_Nd2GeI2
_chemical_formula_sum 'Nd4 Ge2 I4'
_cell_length_a 7.694
_cell_length_b 7.694
_cell_length_c 11.277
_cell_angle_alpha 90.00
_cell_angle_beta 90.00
_cell_angle_gamma 148.26
_space_group_name_H-M_alt 'P 1'
_space_group_IT_number 1
loop_
_space_group_symop_operation_xyz
'x,y,z'
loop_
_atom_site_label
_atom_site_fract_x
_atom_site_fract_y
_atom_site_fract_z
_atom_site_occupancy
Nd1 0.037 0.963 0.500 1
Nd2 0.232 0.768 0.738 1
Nd3 0.768 0.232 0.238 1
Nd4 0.963 0.037 0.000 1
Ge1 0.349 0.651 0.086 1
Ge2 0.651 0.349 0.586 1
I1 0.097 0.903 0.231 1
I2 0.365 0.635 0.430 1
I3 0.635 0.365 0.930 1
I4 0.903 0.097 0.731 1
# **Symmetry**: No. 36
# **Uncorrected formation energy**: -0.9176 eV per atom
# **V**: 35.1 A^3/atom
# **DFT total energy**: -43.68 eV per cell



Record 3
# Er8Ag2Ir | Alexandria | PBE | optimized geometry
data_Er8Ag2Ir
_chemical_formula_sum 'Er8 Ag2 Ir1'
_cell_length_a 9.046
_cell_length_b 9.046
_cell_length_c 6.771
_cell_angle_alpha 107.04
_cell_angle_beta 107.04
_cell_angle_gamma 33.07
_space_group_name_H-M_alt 'P 1'
_space_group_IT_number 1
loop_
_space_group_symop_operation_xyz
'x,y,z'
loop_
_atom_site_label
_atom_site_fract_x
_atom_site_fract_y
_atom_site_fract_z
_atom_site_occupancy
Er1 0.027 0.027 0.292 1
Er2 0.201 0.201 0.810 1
Er3 0.340 0.340 0.530 1
Er4 0.410 0.410 0.069 1
Er5 0.590 0.590 0.931 1
Er6 0.660 0.660 0.470 1
Er7 0.799 0.799 0.190 1
Er8 0.973 0.973 0.708 1
Ag1 0.183 0.183 0.216 1
Ag2 0.817 0.817 0.784 1
Ir1 0.500 0.500 0.500 1
# **Symmetry**: No. 12
# **Excess energy over the best structure of this formula in the dataset**: 0.000 eV per atom
# **V**: 26.2 A^3/atom
# **DFT total energy**: -54.40 eV per cell
# **ΔH_f (0 K)**: -303 meV per atom



Record 4
# IrC | Alexandria | PBE | optimized geometry
data_IrC
_chemical_formula_sum 'Ir1 C1'
_cell_length_a 2.909
_cell_length_b 2.909
_cell_length_c 2.909
_cell_angle_alpha 90.00
_cell_angle_beta 90.00
_cell_angle_gamma 90.00
_space_group_name_H-M_alt 'P 1'
_space_group_IT_number 1
loop_
_space_group_symop_operation_xyz
'x,y,z'
loop_
_atom_site_label
_atom_site_fract_x
_atom_site_fract_y
_atom_site_fract_z
_atom_site_occupancy
Ir1 0.000 0.000 0.000 1
C1 0.500 0.500 0.000 1
# **Symmetry**: No. 123
# **Excess energy over the best structure of this formula in the dataset**: 0.787 eV per atom
# **V**: 12.3 A^3/atom
# **DFT total energy**: -15.60 eV per cell
# **ΔH_f (0 K)**: 1245 meV per atom



Record 5
# Cs2HI3 | Alexandria | PBE | optimized geometry
data_Cs2HI3
_chemical_formula_sum 'Cs4 H2 I6'
_cell_length_a 7.669
_cell_length_b 7.728
_cell_length_c 11.146
_cell_angle_alpha 69.73
_cell_angle_beta 73.26
_cell_angle_gamma 87.39
_space_group_name_H-M_alt 'P 1'
_space_group_IT_number 1
loop_
_space_group_symop_operation_xyz
'x,y,z'
loop_
_atom_site_label
_atom_site_fract_x
_atom_site_fract_y
_atom_site_fract_z
_atom_site_occupancy
Cs1 0.160 0.222 0.172 1
Cs2 0.261 0.267 0.580 1
Cs3 0.739 0.733 0.420 1
Cs4 0.840 0.778 0.828 1
H1 0.343 0.654 0.141 1
H2 0.657 0.346 0.859 1
I1 0.139 0.779 0.079 1
I2 0.212 0.806 0.496 1
I3 0.466 0.478 0.801 1
I4 0.534 0.522 0.199 1
I5 0.788 0.194 0.504 1
I6 0.861 0.221 0.921 1
# **Symmetry**: No. 2
# **V**: 49.4 A^3/atom
# **DFT total energy**: -31.59 eV per cell



Record 6
# CuGeP | Alexandria | PBE | optimized geometry
data_CuGeP
_chemical_formula_sum 'Cu1 Ge1 P1'
_cell_length_a 2.565
_cell_length_b 5.352
_cell_length_c 5.352
_cell_angle_alpha 53.72
_cell_angle_beta 90.00
_cell_angle_gamma 90.00
_space_group_name_H-M_alt 'P 1'
_space_group_IT_number 1
loop_
_space_group_symop_operation_xyz
'x,y,z'
loop_
_atom_site_label
_atom_site_fract_x
_atom_site_fract_y
_atom_site_fract_z
_atom_site_occupancy
Cu1 0.000 0.000 0.000 1
Ge1 0.500 0.226 0.226 1
P1 0.500 0.796 0.796 1
# **Symmetry**: No. 38
# **Excess energy over the best structure of this formula in the dataset**: 0.066 eV per atom
# **V**: 19.7 A^3/atom
# **DFT total energy**: -13.60 eV per cell
# **ΔH_f (0 K)**: 174 meV per atom



What did the fourth record say?
# IrC | Alexandria | PBE | optimized geometry
data_IrC
_chemical_formula_sum 'Ir1 C1'
_cell_length_a 2.909
_cell_length_b 2.909
_cell_length_c 2.909
_cell_angle_alpha 90.00
_cell_angle_beta 90.00
_cell_angle_gamma 90.00
_space_group_name_H-M_alt 'P 1'
_space_group_IT_number 1
loop_
_space_group_symop_operation_xyz
'x,y,z'
loop_
_atom_site_label
_atom_site_fract_x
_atom_site_fract_y
_atom_site_fract_z
_atom_site_occupancy
Ir1 0.000 0.000 0.000 1
C1 0.500 0.500 0.000 1
# **Symmetry**: No. 123
# **Excess energy over the best structure of this formula in the dataset**: 0.787 eV per atom
# **V**: 12.3 A^3/atom
# **DFT total energy**: -15.60 eV per cell
# **ΔH_f (0 K)**: 1245 meV per atom



The lowest DFT total energy belongs to which entry? Ho2Tm6In



Which of these has the highest DFT total energy? CuGeP



DFT total energy of number 1 (Ho2Tm6In)? -77.95 eV per cell